Entry from Alexandria: a geometry-optimized RuCl structure (PBE).

Unit cell a=2.965 b=2.965 c=7.856 alpha=90.00 beta=90.00 gamma=120.00
Fractional positions:
Cl  0.000  0.000  0.000
Cl  0.000  0.000  0.500
Ru  0.333  0.667  0.250
Ru  0.667  0.333  0.750

Summary:
**Formation energy (no corrections)**: 0.706 eV per atom
**Space-group type**: P6_3/mmc, No. 194